VASP calculation (PBE-GGA) on an optimized crystal structure of NbNiIN2.

```
NbNiIN2
1.0
-1.797 0.826 -3.379
-0.502 -3.825 -0.669
-4.262 0.156 2.305
Nb N Ni I
1 2 1 1
direct
0.500 0.500 0.500
0.000 0.500 0.000
0.500 0.000 0.000
0.000 0.000 0.000
0.000 0.000 0.500
```

Computed properties:
As for the uncorrected formation energy: 1596 meV per atom.


VASP calculation (PBE-GGA) on an optimized crystal structure of NbI2NO.

```
NbI2NO
1.0
5.657 0.000 0.000
0.000 5.657 0.000
0.000 0.000 3.913
O Nb I N
1 1 2 1
direct
0.500 0.500 0.500
0.000 0.000 0.000
0.500 0.000 0.000
0.000 0.500 0.000
0.000 0.000 0.500
```

Computed properties:
As for the uncorrected formation energy: 482 meV per atom.


VASP calculation (PBE-GGA) on an optimized crystal structure of NbI2NO.

```
NbI2NO
1.0
-1.701 -3.415 4.211
-3.012 -3.074 -3.709
3.108 -2.305 -0.614
I N Nb O
2 1 1 1
direct
0.500 0.000 0.000
0.000 0.500 0.000
0.500 0.500 0.500
0.000 0.000 0.000
0.000 0.000 0.500
```

Computed properties:
As for the uncorrected formation energy: 249 meV per atom.